Computed, not measured: crystalline TeHPd3 at its relaxed geometry at the PBE-GGA level of DFT.

Calculated values
magnetization = 0.00 μB per cell
crystal system = monoclinic
energy = -23.049 eV/f.u.
energy relative to the lowest polymorph listed for this composition = 0.00 eV/f.u.

Cell lengths 4.202, 5.945, 5.942 Å; angles 84.66, 90.09, 90.09 degrees
Fractional coordinates of all 10 atoms:
Pd 0.002 0.596 0.497
Pd 0.994 0.568 0.007
Pd 0.002 0.058 0.035
Pd 0.483 0.846 0.747
Pd 0.483 0.308 0.285
Pd 0.490 0.336 0.776
H 0.742 0.600 0.743
H 0.743 0.305 0.039
Te 0.995 0.127 0.566
Te 0.489 0.778 0.216